A plane-wave DFT calculation with SCAN was carried out for a crystal of AlAg2W relaxed with PBEsol.

Results
E_form in eV per atom: 0.60
Crystal system: cubic
Magnetization in μB/f.u.: 1.4

abc: 6.339 6.339 6.339
angles: 90.00 90.00 90.00
Space group F-43m (No. 216)
Symmetry-distinct sites (fractional):
Al  0.000  0.000  0.000
Ag  0.000  0.000  0.500
Ag  0.250  0.250  0.250
W  0.250  0.250  0.750